Entry from the Alexandria database: LiCl after structural relaxation (PBE-GGA).

The density of states at the Fermi level is 0.0 states/eV/f.u. The formation energy without anion corrections is -1.700 eV per atom. The calculation puts the total energy at -7.16 eV per cell.

It has space group P-6m2 (No. 187), with a = 3.5592 Å, b = 3.5592 Å, c = 3.2876 Å, α = 90.00°, β = 90.00° and γ = 120.00°. The asymmetric unit holds Li at (0.0000, 0.0000, 0.0000) and Cl at (0.3333, 0.6667, 0.5000).


Entry from the Alexandria database: Li3Cl after structural relaxation (PBE-GGA).

The density of states at the Fermi level is 1.1 states/eV/f.u. The formation energy without anion corrections is -0.712 eV per atom. The calculation puts the total energy at -10.44 eV per cell.

It has space group Pmm2 (No. 25), with a = 3.235 Å, b = 3.310 Å, c = 8.239 Å, α = 90.00°, β = 90.00° and γ = 90.00°. The asymmetric unit holds Li at (0.000, 0.000, 0.000), Li at (0.000, 0.500, 0.366), Li at (0.500, 0.500, 0.730) and Cl at (0.500, 0.000, 0.242).


Entry from the Alexandria database: Li3Cl after structural relaxation (PBE-GGA).

The density of states at the Fermi level is 0.6 states/eV/f.u. The formation energy without anion corrections is -0.701 eV per atom. The calculation puts the total energy at -10.39 eV per cell.

It has space group P4/mmm (No. 123), with a = 3.405 Å, b = 3.405 Å, c = 6.196 Å, α = 90.00°, β = 90.00° and γ = 90.00°. The asymmetric unit holds Li at (0.000, 0.000, 0.000), Li at (0.500, 0.500, 0.263) and Cl at (0.000, 0.000, 0.500).


Entry from the Alexandria database: Li3Cl after structural relaxation (PBE-GGA).

The density of states at the Fermi level is 1.0 states/eV/f.u. The formation energy without anion corrections is -0.741 eV per atom. The calculation puts the total energy at -10.55 eV per cell.

It has space group P2/m (No. 10), with a = 3.830 Å, b = 3.545 Å, c = 6.352 Å, α = 90.00°, β = 102.32° and γ = 90.00°. The asymmetric unit holds Li at (0.000, 0.000, 0.000), Li at (0.441, 0.500, 0.747) and Cl at (0.500, 0.000, 0.500).


Entry from the Alexandria database: LiCl after structural relaxation (PBE-GGA).

The density of states at the Fermi level is 0.0 states/eV/f.u. The formation energy without anion corrections is -1.787 eV per atom. The calculation puts the total energy at -117.36 eV per cell.

It has space group Fddd (No. 70, origin choice 2), with a = 7.947 Å, b = 9.825 Å, c = 10.858 Å, α = 90.00°, β = 90.00° and γ = 90.00°. The asymmetric unit holds Li at (0.125, 0.125, 0.271) and Cl at (0.125, 0.311, 0.125).


Entry from the Alexandria database: LiCl after structural relaxation (PBE-GGA).

The density of states at the Fermi level is 0.0 states/eV/f.u. The formation energy without anion corrections is -1.828 eV per atom. The calculation puts the total energy at -14.83 eV per cell.

It has space group P6_3mc (No. 186), with a = 3.9438 Å, b = 3.9438 Å, c = 6.2785 Å, α = 90.00°, β = 90.00° and γ = 120.00°. The asymmetric unit holds Li at (0.3333, 0.6667, 0.0000) and Cl at (0.3333, 0.6667, 0.3829).


Entry from the Alexandria database: LiCl after structural relaxation (PBE-GGA).

The density of states at the Fermi level is 0.0 states/eV/f.u. The formation energy without anion corrections is -1.721 eV per atom. The calculation puts the total energy at -43.21 eV per cell.

It has space group R-3m (No. 166, hexagonal axes), with a = 3.9824 Å, b = 3.9824 Å, c = 27.8642 Å, α = 90.00°, β = 90.00° and γ = 120.00°. The asymmetric unit holds Li at (0.0000, 0.0000, 0.0856) and Cl at (0.0000, 0.0000, 0.4187).


Entry from the Alexandria database: Li3Cl after structural relaxation (PBE-GGA).

The density of states at the Fermi level is 0.9 states/eV/f.u. The formation energy without anion corrections is -0.622 eV per atom. The calculation puts the total energy at -40.30 eV per cell.

It has space group I4/mmm (No. 139), with a = 3.838 Å, b = 3.838 Å, c = 21.921 Å, α = 90.00°, β = 90.00° and γ = 90.00°. The asymmetric unit holds Li at (0.000, 0.000, 0.126), Li at (0.000, 0.500, 0.000), Li at (0.000, 0.500, 0.250) and Cl at (0.000, 0.000, 0.421).


> Look up the formation energy without anion corrections of the first one.

-1.700 eV per atom


> The lowest formation energy without anion corrections belongs to which entry?

number 6


> Which of these has the lowest formation energy without anion corrections?

number 6


> What is the formation energy without anion corrections in the first record?

-1.700 eV per atom